DFT (GGA-PBEsol) results for crystalline BeOsAu2 at its relaxed geometry.

Output
DFT formation energy	0.445	eV/atom
spin magnetization	0.00	μB/cell

Unit cell a=3.786 b=3.786 c=4.021 alpha=90.00 beta=90.00 gamma=90.00
Space group P4/mmm (No. 123)
Symmetry-distinct sites (fractional):
1 Be 0.000 0.000 0.000
2 Os 0.500 0.500 0.000
3 Au 0.000 0.500 0.500